Entry 1:
MgScPt2: PBEsol geometry, meta-GGA SCAN.

Structure (POSCAR):
```
MgScPt2
1.0
3.849 0.000 0.000
0.000 3.849 0.000
-1.924 -1.924 4.398
Pt Mg Sc
2 1 1
Cartesian
0.000 1.924 2.199
0.000 0.000 0.000
1.924 0.000 2.199
1.924 1.924 0.000
```

Density   11.71 Mg/m³
Total DFT energy (no corrections)   -164.197 eV/cell
E_form   -1.15 eV/atom
Spin magnetization   0.0 Bohr magnetons per cell

Entry 2:
BaSr2Cu: PBEsol geometry, meta-GGA SCAN.

Structure (POSCAR):
```
BaSr2Cu
1.0
4.344 0.000 0.000
2.172 3.762 0.000
2.172 1.254 10.643
Sr Cu Ba
2 1 1
Cartesian
2.172 1.254 1.699
6.516 3.762 8.944
0.000 0.000 0.000
4.344 2.508 5.321
```

Density   3.59 Mg/m³
Total DFT energy (no corrections)   -99.075 eV/cell
E_form   0.06 eV/atom
Spin magnetization   0.1 Bohr magnetons per cell

Entry 3:
MnTc2Te: PBEsol geometry, meta-GGA SCAN.

Structure (POSCAR):
```
MnTc2Te
1.0
3.091 0.000 0.000
0.000 3.091 0.000
0.000 0.000 6.280
Te Mn Tc
1 1 2
Cartesian
0.000 0.000 3.270
1.545 1.545 4.778
1.545 1.545 1.423
0.000 0.000 6.229
```

Density   10.48 Mg/m³
Total DFT energy (no corrections)   -124.552 eV/cell
Spin magnetization   3.0 Bohr magnetons per cell
Energy relative to the elements, uncorrected   0.2685 eV/atom

Entry 4:
RbTi2P3O12: PBEsol geometry, meta-GGA SCAN.

Structure (POSCAR):
```
RbTi2P3O12
1.0
8.366 0.000 0.000
4.183 7.245 0.000
4.183 2.415 7.865
Rb O P Ti
2 24 6 4
Cartesian
8.366 4.830 3.932
0.000 0.000 0.000
9.328 8.432 5.474
11.048 6.789 4.690
8.936 3.377 6.327
11.004 2.195 5.474
11.404 3.486 3.174
5.681 1.952 0.762
9.909 4.597 1.538
5.683 2.871 3.174
5.328 6.174 4.690
13.699 8.311 7.103
7.392 3.610 1.538
3.835 3.944 0.762
5.727 7.465 2.390
9.339 6.050 6.327
7.796 6.283 1.538
7.403 1.228 2.390
3.033 1.349 0.762
8.010 8.133 3.174
11.051 7.708 7.103
8.721 1.527 4.690
11.966 5.798 2.390
6.822 5.063 6.327
12.897 5.716 7.103
4.765 3.862 5.474
6.519 2.415 1.966
11.380 4.438 1.966
5.351 5.222 5.899
10.212 7.245 5.899
7.198 7.636 1.966
9.534 2.024 5.899
8.366 4.830 0.380
8.366 4.830 7.485
12.549 7.245 3.551
4.183 2.415 4.314
```

Density   3.25 Mg/m³
Total DFT energy (no corrections)   -419.687 eV/cell
Spin magnetization   0.0 Bohr magnetons per cell
Energy relative to the elements, uncorrected   -2.8374 eV/atom

Entry 5:
K2Hg: PBEsol geometry, meta-GGA SCAN.

Structure (POSCAR):
```
K2Hg
1.0
-1.739 3.626 -0.764
-6.666 -5.528 -0.103
0.840 2.016 7.662
K Hg
4 2
Cartesian
-5.394 -1.958 2.982
-4.524 -0.767 6.659
-3.040 0.881 0.136
-2.171 2.072 3.813
0.657 1.624 6.213
-8.222 -1.510 0.582
```

Density   3.50 Mg/m³
Total DFT energy (no corrections)   -170.827 eV/cell
E_form   -0.20 eV/atom
Spin magnetization   0.0 Bohr magnetons per cell

Entry 6:
AsW2Cl: PBEsol geometry, meta-GGA SCAN.

Structure (POSCAR):
```
AsW2Cl
1.0
-1.677 -1.786 -2.077
-0.755 -1.230 4.151
-5.125 4.989 -0.152
Cl As W
1 1 2
Cartesian
-1.560 0.570 0.770
-4.739 0.993 2.972
-5.578 1.658 0.595
-4.961 4.112 0.470
```

Density   8.49 Mg/m³
Total DFT energy (no corrections)   -166.545 eV/cell
Spin magnetization   0.0 Bohr magnetons per cell
Energy relative to the elements, uncorrected   0.2498 eV/atom